The following is a DFT calculation (PBE) of crystalline TbCeGa2Pt2 at its relaxed geometry.

Geometry as CIF:
```
data_TbCeGa2Pt2
_chemical_formula_sum 'Tb1 Ce1 Ga2 Pt2'
_cell_length_a 4.496
_cell_length_b 4.496
_cell_length_c 7.025
_cell_angle_alpha 90.00
_cell_angle_beta 90.00
_cell_angle_gamma 120.00
_space_group_name_H-M_alt 'P 1'
_space_group_IT_number 1
_space_group_name_Hall 'P 1'
loop_
_atom_site_label
_atom_site_type_symbol
_atom_site_fract_x
_atom_site_fract_y
_atom_site_fract_z
Tb1 Tb 0.000 0.000 0.500
Ce1 Ce 0.000 0.000 0.000
Ga1 Ga 0.667 0.333 0.739
Ga2 Ga 0.333 0.667 0.261
Pt1 Pt 0.667 0.333 0.258
Pt2 Pt 0.333 0.667 0.742
```

# RbMgAgHg2 | the Alexandria database | PBE | relaxed
data_RbMgAgHg2
_chemical_formula_sum 'Rb1 Mg1 Ag1 Hg2'
_cell_length_a 6.761
_cell_length_b 7.137
_cell_length_c 6.761
_cell_angle_alpha 90.00
_cell_angle_beta 90.00
_cell_angle_gamma 90.00
_space_group_name_H-M_alt 'P 1'
_space_group_IT_number 1
_space_group_name_Hall 'P 1'
loop_
_atom_site_label
_atom_site_type_symbol
_atom_site_fract_x
_atom_site_fract_y
_atom_site_fract_z
Mg1 Mg 0.000 0.500 0.000
Rb1 Rb 0.000 0.000 0.000
Hg1 Hg 0.000 0.000 0.500
Hg2 Hg 0.500 0.000 0.000
Ag1 Ag 0.500 0.500 0.500
# Distance to the lowest polymorph of the same formula = 679.6 meV per atom

# Nd5Ga3 | the Alexandria database | PBE | relaxed
data_Nd5Ga3
_chemical_formula_sum 'Nd10 Ga6'
_cell_length_a 6.100
_cell_length_b 9.069
_cell_length_c 9.069
_cell_angle_alpha 83.50
_cell_angle_beta 70.35
_cell_angle_gamma 70.35
_space_group_name_H-M_alt 'P 1'
_space_group_IT_number 1
_space_group_name_Hall 'P 1'
loop_
_atom_site_label
_atom_site_type_symbol
_atom_site_fract_x
_atom_site_fract_y
_atom_site_fract_z
Nd1 Nd 0.250 0.500 0.500
Nd2 Nd 0.750 0.500 0.500
Nd3 Nd 0.913 0.872 0.302
Nd4 Nd 0.087 0.128 0.698
Nd5 Nd 0.413 0.302 0.872
Nd6 Nd 0.587 0.698 0.128
Nd7 Nd 0.715 0.872 0.698
Nd8 Nd 0.285 0.128 0.302
Nd9 Nd 0.785 0.302 0.128
Nd10 Nd 0.215 0.698 0.872
Ga1 Ga 0.250 0.000 0.000
Ga2 Ga 0.750 0.000 0.000
Ga3 Ga 0.841 0.500 0.818
Ga4 Ga 0.159 0.500 0.182
Ga5 Ga 0.341 0.818 0.500
Ga6 Ga 0.659 0.182 0.500
# Distance to the lowest polymorph of the same formula = 14.2 meV per atom

| no. | energy (eV per atom) | formation energy from the elements (kJ/mol of formula units) |
| --- | --- | --- |
| 1 | -5.81 | -594.9 |
| 2 | -0.54 | 320.0 |
| 3 | -4.56 | -340.8 |